The following is a PBE-GGA calculation of an optimized crystal structure of SmHo2Pd9, from Alexandria via LeMat-Bulk.

Unit cell a=4.1375 b=4.1375 c=12.3806 alpha=90.00 beta=90.00 gamma=90.00
Closest atoms and distances in Å follow each position.
Space group P4/mmm (No. 123)
Inequivalent atoms, fractional coordinates:
Sm  0.0000  0.0000  0.0000  12 Pd 2.93-2.96
Ho  0.0000  0.0000  0.3358  12 Pd 2.90-2.93
Pd  0.0000  0.5000  0.1705  8 Pd 2.90-2.96, 2 Ho 2.91, 2 Sm 2.96
Pd  0.0000  0.5000  0.5000  4 Ho 2.90, 8 Pd 2.91-2.93
Pd  0.5000  0.5000  0.0000  4 Sm 2.93, 8 Pd 2.96
Pd  0.5000  0.5000  0.3345  8 Pd 2.90-2.91, 4 Ho 2.93

Values from the calculation:
Its density of states at the Fermi level is 9.06 states/eV/cell. Its density is 11.27 g/cm³. The magnetization is 0.0 Bohr magnetons per cell. The formation energy from the elements comes out at -19.8 kcal/mol of atoms.

***

The following is a PBE-GGA calculation of an optimized crystal structure of Sm2HoPd, from Alexandria via LeMat-Bulk.

Unit cell a=3.7778 b=3.7778 c=28.8087 alpha=90.00 beta=90.00 gamma=120.00
Closest atoms and distances in Å follow each position.
Space group R3m (No. 160, hexagonal axes)
Inequivalent atoms, fractional coordinates:
Sm  0.0000  0.0000  0.0000  3 Pd 2.91
Sm  0.0000  0.0000  0.1997  3 Pd 2.91
Ho  0.0000  0.0000  0.7665  6 Sm 3.61, 6 Ho 3.78
Pd  0.0000  0.0000  0.5998  6 Sm 2.91

Values from the calculation:
Its density of states at the Fermi level is 15.11 states/eV/cell. Its density is 8.00 g/cm³. As for the energy above the lowest structure with this stoichiometry: 0.169 eV/atom. The magnetization is 0.0 Bohr magnetons per cell. The formation energy from the elements comes out at -5.8 kcal/mol of atoms.

***

The following is a PBE-GGA calculation of an optimized crystal structure of SmHo3Pd, from Alexandria via LeMat-Bulk.

Unit cell a=17.4737 b=5.2062 c=6.2924 alpha=90.00 beta=96.80 gamma=90.00
Closest atoms and distances in Å follow each position.
Space group C2/m (No. 12)
Inequivalent atoms, fractional coordinates:
Sm  0.0894  0.0000  0.3571  2 Pd 3.22, 7 Ho 3.46-3.60
Ho  0.0398  0.5000  0.7732  1 Pd 2.76
Ho  0.1825  0.0000  0.8994  3 Pd 2.95-3.05
Ho  0.2057  0.5000  0.5625  1 Pd 2.80
Pd  0.1499  0.5000  0.1263  5 Ho 2.76-3.05

Values from the calculation:
Its density of states at the Fermi level is 28.55 states/eV/cell. Its density is 8.78 g/cm³. As for the energy above the lowest structure with this stoichiometry: 0.007 eV/atom. The magnetization is 0.0 Bohr magnetons per cell. The formation energy from the elements comes out at -6.1 kcal/mol of atoms.

***

The following is a PBE-GGA calculation of an optimized crystal structure of Sm2Ho3Pd2, from Alexandria via LeMat-Bulk.

Unit cell a=12.5137 b=3.7219 c=9.1119 alpha=90.00 beta=117.39 gamma=90.00
Closest atoms and distances in Å follow each position.
Space group C2/m (No. 12)
Inequivalent atoms, fractional coordinates:
Sm  0.1549  0.0000  0.3126  2 Pd 3.11
Ho  0.0000  0.5000  0.5000  4 Pd 2.89
Ho  0.1147  0.5000  0.9414  3 Pd 2.90-2.94
Pd  0.1660  0.0000  0.7386  5 Ho 2.89-2.94, 2 Sm 3.11

Values from the calculation:
Its density of states at the Fermi level is 16.58 states/eV/cell. Its density is 8.89 g/cm³. The magnetization is 0.0 Bohr magnetons per cell. The formation energy from the elements comes out at -12.1 kcal/mol of atoms.

***

The following is a PBE-GGA calculation of an optimized crystal structure of SmHo3Pd, from Alexandria via LeMat-Bulk.

Unit cell a=11.5780 b=8.3991 c=7.8553 alpha=90.00 beta=127.62 gamma=90.00
Closest atoms and distances in Å follow each position.
Space group C2/m (No. 12)
Inequivalent atoms, fractional coordinates:
Sm  0.0417  0.0000  0.3096  1 Pd 2.92
Ho  0.0739  0.5000  0.2728  2 Pd 2.82-2.97
Ho  0.2018  0.2993  0.7359  2 Pd 2.78-3.02
Pd  0.2257  0.5000  0.0750  6 Ho 2.78-3.02, 1 Sm 2.92

Values from the calculation:
Its density of states at the Fermi level is 29.02 states/eV/cell. Its density is 8.25 g/cm³. As for the energy above the lowest structure with this stoichiometry: 0.000 eV/atom. The magnetization is 0.0 Bohr magnetons per cell. The formation energy from the elements comes out at -6.3 kcal/mol of atoms.

***

The following is a PBE-GGA calculation of an optimized crystal structure of Sm3HoPd12, from Alexandria via LeMat-Bulk.

Unit cell a=4.1513 b=4.1513 c=16.6932 alpha=90.00 beta=90.00 gamma=90.00
Closest atoms and distances in Å follow each position.
Space group P4/mmm (No. 123)
Inequivalent atoms, fractional coordinates:
Sm  0.0000  0.0000  0.0000  12 Pd 2.94-2.95
Sm  0.0000  0.0000  0.2524  12 Pd 2.94-2.96
Ho  0.0000  0.0000  0.5000  12 Pd 2.91-2.94
Pd  0.0000  0.5000  0.1259  8 Pd 2.94-2.95, 4 Sm 2.95-2.96
Pd  0.0000  0.5000  0.3782  2 Ho 2.91, 8 Pd 2.91-2.96, 2 Sm 2.95
Pd  0.5000  0.5000  0.0000  4 Sm 2.94, 8 Pd 2.95
Pd  0.5000  0.5000  0.2516  4 Sm 2.94, 8 Pd 2.95-2.96
Pd  0.5000  0.5000  0.5000  8 Pd 2.91, 4 Ho 2.94

Values from the calculation:
Its density of states at the Fermi level is 10.64 states/eV/cell. Its density is 10.93 g/cm³. The magnetization is 0.0 Bohr magnetons per cell. The formation energy from the elements comes out at -19.1 kcal/mol of atoms.

***

The following is a PBE-GGA calculation of an optimized crystal structure of SmHoPd2, from Alexandria via LeMat-Bulk.

Unit cell a=4.1314 b=4.1314 c=19.9378 alpha=90.00 beta=90.00 gamma=120.00
Closest atoms and distances in Å follow each position.
Space group R-3m (No. 166, hexagonal axes)
Inequivalent atoms, fractional coordinates:
Sm  0.0000  0.0000  0.0000  6 Pd 2.95
Ho  0.0000  0.0000  0.5000  6 Pd 2.87
Pd  0.0000  0.0000  0.2464  3 Ho 2.87, 3 Sm 2.95

Values from the calculation:
Its density of states at the Fermi level is 7.77 states/eV/cell. Its density is 8.93 g/cm³. As for the energy above the lowest structure with this stoichiometry: 0.163 eV/atom. The magnetization is 0.0 Bohr magnetons per cell. The formation energy from the elements comes out at -16.7 kcal/mol of atoms.

***

The following is a PBE-GGA calculation of an optimized crystal structure of Sm2HoPd2, from Alexandria via LeMat-Bulk.

Unit cell a=7.8843 b=7.8843 c=4.0128 alpha=90.00 beta=90.00 gamma=90.00
Closest atoms and distances in Å follow each position.
Space group P4/mbm (No. 127)
Inequivalent atoms, fractional coordinates:
Sm  0.1680  0.3320  0.0000  6 Pd 3.01-3.11
Ho  0.0000  0.0000  0.5000  4 Pd 3.09
Pd  0.1306  0.6306  0.5000  1 Pd 2.91, 6 Sm 3.01-3.11, 2 Ho 3.09

Values from the calculation:
Its density of states at the Fermi level is 8.46 states/eV/cell. Its density is 9.03 g/cm³. The magnetization is 0.0 Bohr magnetons per cell. The formation energy from the elements comes out at -15.9 kcal/mol of atoms.